## MgMo2As (PBE-GGA)

Data for crystalline MgMo2As at its relaxed geometry.

ΔE to the lowest computed polymorph: 169.0 meV per atom
E_form: 174 meV/atom
raw total energy: -54.420 eV/cell
calculated volume: 16.168 A^3/atom
density of states at the Fermi level: 5.200 states/eV per cell

abc: 9.573 3.446 4.411
angles: 90.00 117.27 90.00
Space group Cm (No. 8)
Symmetry-distinct sites (fractional):
Mg  0.000  0.000  0.000 [2 per cell]
Mo  0.265  0.500  0.264 [2 per cell]
Mo  0.497  0.000  0.497 [2 per cell]
As  0.239  0.000  0.737 [2 per cell]